VASP calculation (PBE) on a geometry-optimized TlVCoS3 structure.

Values from the calculation:
DFT total energy	-34.80	eV/f.u.
symmetry	P2_1/m
M_tot	0.124	μB per atom
volume	19.5	A^3/atom

Cell lengths 7.9279, 3.4051, 9.3414 Å; angles 90.00, 111.95, 90.00 degrees
With the nearest neighbours (Å) after each atom.
Positions (direct):
Tl (0.0156, 0.2500, 0.2178)  5 S 3.03-3.35
Tl (0.9844, 0.7500, 0.7822)  5 S 3.03-3.35
V (0.4614, 0.7500, 0.6702)  6 S 2.32-2.47
V (0.5386, 0.2500, 0.3298)  6 S 2.32-2.47
Co (0.4679, 0.2500, 0.8897)  4 S 2.20-2.27
Co (0.5321, 0.7500, 0.1103)  4 S 2.20-2.27
S (0.2511, 0.2500, 0.6588)  1 Co 2.20, 2 V 2.36
S (0.3436, 0.2500, 0.0725)  3 Co 2.20-2.27, 1 V 2.32
S (0.3470, 0.7500, 0.3862)  3 V 2.46-2.47
S (0.6530, 0.2500, 0.6138)  3 V 2.46-2.47
S (0.6564, 0.7500, 0.9275)  3 Co 2.20-2.27, 1 V 2.32
S (0.7489, 0.7500, 0.3412)  1 Co 2.20, 2 V 2.36

***

VASP calculation (PBE) on a geometry-optimized Zr3Tl4CoS8 structure.

Values from the calculation:
DFT total energy	-89.97	eV/f.u.
symmetry	C2/m
M_tot	0.132	μB per atom
volume	23.1	A^3/atom

Cell lengths 7.3188, 7.3188, 9.0383 Å; angles 114.17, 114.17, 59.86 degrees
With the nearest neighbours (Å) after each atom.
Positions (direct):
Zr (0.0000, 0.0000, 0.0000)  6 S 2.58-2.60
Zr (0.0000, 0.5000, 0.0000)  6 S 2.58-2.60
Zr (0.5000, 0.0000, 0.0000)  6 S 2.58-2.60
Tl (0.0000, 0.0000, 0.5000)  6 S 3.33-3.35, 6 Tl 3.65-3.66
Tl (0.0000, 0.5000, 0.5000)  6 S 3.25-3.29
Tl (0.5000, 0.0000, 0.5000)  6 S 3.25-3.29
Tl (0.5000, 0.5000, 0.5000)  6 S 3.24-3.29
Co (0.5000, 0.5000, 0.0000)  6 S 2.50-2.51
S (0.2302, 0.2302, 0.1898)  3 Zr 2.60
S (0.2381, 0.7220, 0.1807)  1 Co 2.50, 2 Zr 2.58-2.59
S (0.2776, 0.2776, 0.8191)  1 Co 2.51, 2 Zr 2.58
S (0.2779, 0.7619, 0.8193)  1 Co 2.50, 2 Zr 2.58-2.59
S (0.7220, 0.2381, 0.1807)  1 Co 2.50, 2 Zr 2.58-2.59
S (0.7224, 0.7224, 0.1809)  1 Co 2.51, 2 Zr 2.58
S (0.7619, 0.2779, 0.8193)  1 Co 2.50, 2 Zr 2.58-2.59
S (0.7698, 0.7698, 0.8102)  3 Zr 2.60

***

VASP calculation (PBE) on a geometry-optimized Zr2Tl3CoS6 structure.

Values from the calculation:
DFT total energy	-66.39	eV/f.u.
symmetry	C2/m
M_tot	0.169	μB per atom
volume	22.6	A^3/atom

Cell lengths 6.3853, 6.3853, 7.9600 Å; angles 97.73, 97.73, 120.01 degrees
With the nearest neighbours (Å) after each atom.
Positions (direct):
Zr (0.1664, 0.8336, 0.0000)  6 S 2.59
Zr (0.8336, 0.1664, 0.0000)  6 S 2.59
Tl (0.0000, 0.0000, 0.5000)  6 S 3.19-3.24
Tl (0.3301, 0.6699, 0.5000)  6 S 3.19-3.23
Tl (0.6699, 0.3301, 0.5000)  6 S 3.19-3.23
Co (0.5000, 0.5000, 0.0000)  6 S 2.51-2.53
S (0.1145, 0.4379, 0.8137)  1 Co 2.51, 2 Zr 2.59
S (0.2383, 0.2383, 0.1881)  1 Co 2.53, 2 Zr 2.59
S (0.4379, 0.1145, 0.8137)  1 Co 2.51, 2 Zr 2.59
S (0.5621, 0.8855, 0.1863)  1 Co 2.51, 2 Zr 2.59
S (0.7617, 0.7617, 0.8119)  1 Co 2.53, 2 Zr 2.59
S (0.8855, 0.5621, 0.1863)  1 Co 2.51, 2 Zr 2.59

***

VASP calculation (PBE) on a geometry-optimized Tm8Co2S structure.

Values from the calculation:
DFT total energy	-58.99	eV/f.u.
symmetry	C2/m
M_tot	0.000	μB per atom
volume	24.7	A^3/atom

Cell lengths 8.9223, 8.9223, 8.5542 Å; angles 98.03, 98.03, 23.80 degrees
With the nearest neighbours (Å) after each atom.
Positions (direct):
Tm (0.0102, 0.0102, 0.2227)  2 S 2.64
Tm (0.2124, 0.2124, 0.3270)  2 Co 2.71
Tm (0.3390, 0.3390, 0.0234)  2 Co 2.71, 1 S 2.85
Tm (0.3992, 0.3992, 0.4352)  2 Co 2.78
Tm (0.6008, 0.6008, 0.5648)  2 Co 2.78
Tm (0.6610, 0.6610, 0.9766)  2 Co 2.71, 1 S 2.85
Tm (0.7876, 0.7876, 0.6730)  2 Co 2.71
Tm (0.9898, 0.9898, 0.7773)  2 S 2.64
Co (0.1879, 0.1879, 0.7590)  6 Tm 2.71-2.78
Co (0.8121, 0.8121, 0.2410)  6 Tm 2.71-2.78
S (0.5000, 0.5000, 0.0000)  6 Tm 2.64-2.85

***

VASP calculation (PBE) on a geometry-optimized Tm3CoS structure.

Values from the calculation:
DFT total energy	-28.74	eV/f.u.
symmetry	P2_1/m
M_tot	0.000	μB per atom
volume	21.8	A^3/atom

Cell lengths 7.8558, 3.6454, 8.0985 Å; angles 90.00, 109.88, 90.00 degrees
With the nearest neighbours (Å) after each atom.
Positions (direct):
Tm (0.0774, 0.2500, 0.2461)  3 Co 2.73-2.80, 2 S 2.90
Tm (0.3042, 0.2500, 0.9552)  1 Co 2.92, 2 S 3.00
Tm (0.3388, 0.7500, 0.6100)  3 Co 2.76-3.05, 3 S 2.83-2.88
Tm (0.6612, 0.2500, 0.3900)  3 Co 2.76-3.05, 3 S 2.83-2.88
Tm (0.6958, 0.7500, 0.0448)  1 Co 2.92, 2 S 3.00
Tm (0.9226, 0.7500, 0.7539)  3 Co 2.73-2.80, 2 S 2.90
Co (0.0679, 0.2500, 0.5885)  2 Co 2.34
Co (0.9321, 0.7500, 0.4115)  2 Co 2.34
S (0.3706, 0.7500, 0.2657)  7 Tm 2.83-3.00
S (0.6294, 0.2500, 0.7343)  7 Tm 2.83-3.00

***

VASP calculation (PBE) on a geometry-optimized TmCoS2 structure.

Values from the calculation:
DFT total energy	-21.85	eV/f.u.
symmetry	R-3m
M_tot	0.000	μB per atom
volume	19.7	A^3/atom

Cell lengths 7.7913, 7.7913, 7.7913 Å; angles 25.79, 25.79, 25.79 degrees
With the nearest neighbours (Å) after each atom.
Positions (direct):
Tm (0.0000, 0.0000, 0.0000)  2 S 2.65
Co (0.5000, 0.5000, 0.5000)  6 S 2.29
S (0.1175, 0.1175, 0.1175)  3 Co 2.29
S (0.8825, 0.8825, 0.8825)  3 Co 2.29

***

VASP calculation (PBE) on a geometry-optimized TmCoS structure.

Values from the calculation:
DFT total energy	-18.47	eV/f.u.
symmetry	C2/m
M_tot	0.529	μB per atom
volume	23.4	A^3/atom

Cell lengths 4.1927, 4.1927, 9.4158 Å; angles 93.34, 93.34, 58.39 degrees
With the nearest neighbours (Å) after each atom.
Positions (direct):
Tm (0.0192, 0.0192, 0.1925)  3 S 2.61-2.62, 3 Co 2.79-2.87
Tm (0.9808, 0.9808, 0.8075)  3 S 2.61-2.62, 3 Co 2.79-2.87
Co (0.3241, 0.3241, 0.0303)  2 Co 2.37, 1 S 2.54
Co (0.6759, 0.6759, 0.9697)  2 Co 2.37, 1 S 2.54
S (0.3577, 0.3577, 0.3010)  1 Co 2.54, 3 Tm 2.61-2.62
S (0.6423, 0.6423, 0.6990)  1 Co 2.54, 3 Tm 2.61-2.62

***

VASP calculation (PBE) on a geometry-optimized UCoS4 structure.

Values from the calculation:
DFT total energy	-39.10	eV/f.u.
symmetry	P2_1/c
M_tot	0.165	μB per atom
volume	18.5	A^3/atom

Cell lengths 6.2650, 5.9847, 6.0196 Å; angles 90.00, 99.92, 90.00 degrees
With the nearest neighbours (Å) after each atom.
Positions (direct):
U (0.0000, 0.0000, 0.0000)  4 S 2.51-2.63
U (0.0000, 0.5000, 0.5000)  4 S 2.51-2.63
Co (0.5000, 0.0000, 0.5000)  4 S 2.14-2.39
Co (0.5000, 0.5000, 0.0000)  4 S 2.14-2.39
S (0.2004, 0.1684, 0.3829)  1 Co 2.14
S (0.2004, 0.3316, 0.8829)  1 Co 2.14
S (0.3233, 0.7123, 0.2608)  2 Co 2.39-2.43
S (0.3233, 0.7877, 0.7608)  2 Co 2.39-2.43
S (0.6767, 0.2123, 0.2392)  2 Co 2.39-2.43
S (0.6767, 0.2877, 0.7392)  2 Co 2.39-2.43
S (0.7996, 0.6684, 0.1171)  1 Co 2.14
S (0.7996, 0.8316, 0.6171)  1 Co 2.14

***

Calculated N(E_F), 4.992 9.465 5.043 11.765 5.886 1.123 3.016 9.075 states/eV/cell (same order as the records).